No. 1
! SeS4Cl (GGA-PBE, relaxed); values from VASP
&SYSTEM
  ibrav = 0, nat = 6, ntyp = 3
/
ATOMIC_SPECIES
Cl 35.45 Cl.upf
S 32.06 S.upf
Se 78.96 Se.upf
CELL_PARAMETERS angstrom
-2.109 3.888 0.765
-4.021 -2.240 0.338
0.527 2.826 11.387
ATOMIC_POSITIONS angstrom
Cl -3.958 0.423 2.180
S -4.686 2.225 5.892
S -3.169 4.680 12.034
S -4.403 4.423 10.605
Se -3.845 4.127 6.729
S -1.696 3.614 7.122
! VASP energy: -3.5724 eV/atom
! formation energy from raw total energies: 0.07 eV/atom
! space-group type: No. 1

No. 2
! YCuSb2F (GGA-PBE, relaxed); values from VASP
&SYSTEM
  ibrav = 0, nat = 5, ntyp = 4
/
ATOMIC_SPECIES
Y 88.91 Y.upf
F 19.00 F.upf
Sb 121.76 Sb.upf
Cu 63.55 Cu.upf
CELL_PARAMETERS angstrom
-0.327 -5.110 0.189
3.920 -0.177 2.006
-2.318 0.317 4.558
ATOMIC_POSITIONS angstrom
Y 1.960 -0.088 1.003
F 0.000 0.000 0.000
Sb -1.159 0.159 2.279
Cu 0.637 -2.484 3.377
Sb -0.164 -2.555 0.095
! VASP energy: -4.6567 eV/atom
! formation energy from raw total energies: -0.52 eV/atom
! space-group type: No. 123

No. 3
! SrYSc2 (GGA-PBE, relaxed); values from VASP
&SYSTEM
  ibrav = 0, nat = 4, ntyp = 3
/
ATOMIC_SPECIES
Sr 87.62 Sr.upf
Y 88.91 Y.upf
Sc 44.96 Sc.upf
CELL_PARAMETERS angstrom
-3.195 -2.970 2.667
3.553 -3.666 0.173
1.707 1.848 4.103
ATOMIC_POSITIONS angstrom
Sr -0.744 -0.561 3.385
Y 2.630 -0.909 2.138
Sc 0.000 0.000 0.000
Sc 0.179 -3.318 1.420
! VASP energy: -4.8949 eV/atom
! E_form: 0.31 eV/atom
! energy relative to the lowest polymorph listed for this composition: 0.157 eV per atom
! space-group type: No. 123

No. 4
! PuCuSbO5 (GGA-PBE, relaxed); values from VASP
&SYSTEM
  ibrav = 0, nat = 16, ntyp = 4
/
ATOMIC_SPECIES
O 16.00 O.upf
Cu 63.55 Cu.upf
Pu 244.00 Pu.upf
Sb 121.76 Sb.upf
CELL_PARAMETERS angstrom
-3.069 -5.022 -1.695
4.976 0.612 -3.518
2.495 -1.121 7.550
ATOMIC_POSITIONS angstrom
O 5.259 -1.111 4.367
Cu 4.634 -1.779 2.645
O 0.299 -1.705 -0.676
O 4.876 -0.175 -1.467
Pu 0.000 0.000 0.000
Sb 3.273 -1.298 -1.104
O 4.920 -1.809 0.717
O -0.856 -4.420 -2.032
O -0.518 -3.722 1.619
Sb 1.130 -4.233 3.439
Cu -0.231 -3.752 -0.310
O -0.473 -5.355 3.803
O 1.894 -3.939 -0.545
Pu 1.248 -0.560 3.775
O 4.103 -3.826 3.012
O 2.509 -1.592 2.881
! VASP energy: -7.5669 eV/atom
! formation energy from raw total energies: -1.65 eV/atom
! space-group type: No. 15

No. 5
! Ac6TlPd4 (GGA-PBE, relaxed); values from VASP
&SYSTEM
  ibrav = 0, nat = 22, ntyp = 3
/
ATOMIC_SPECIES
Pd 106.42 Pd.upf
Ac 227.00 Ac.upf
Tl 204.38 Tl.upf
CELL_PARAMETERS angstrom
4.387 0.000 0.000
-2.194 7.482 0.000
0.000 0.000 22.745
ATOMIC_POSITIONS angstrom
Pd 2.194 5.435 21.822
Ac 0.000 0.589 7.782
Ac 2.194 4.038 9.484
Pd 0.000 6.071 8.581
Pd 0.000 6.071 2.791
Ac 2.194 6.893 19.154
Ac 0.000 3.443 20.856
Ac 2.194 4.038 1.889
Tl 0.000 5.074 17.059
Pd 2.194 1.411 19.954
Pd 0.000 2.047 0.923
Ac 0.000 5.056 5.686
Ac 2.194 2.426 17.059
Tl 2.194 2.408 5.686
Ac 2.194 6.893 14.963
Pd 2.194 1.411 14.164
Ac 2.194 0.000 0.000
Ac 2.194 0.000 11.373
Ac 0.000 0.589 3.591
Ac 0.000 3.443 13.261
Pd 0.000 2.047 10.450
Pd 2.194 5.435 12.295
! VASP energy: -4.9770 eV/atom
! E_form: -0.63 eV/atom
! space-group type: No. 63

No. 6
! SrTeN2O (GGA-PBE, relaxed); values from VASP
&SYSTEM
  ibrav = 0, nat = 5, ntyp = 4
/
ATOMIC_SPECIES
N 14.01 N.upf
Sr 87.62 Sr.upf
O 16.00 O.upf
Te 127.60 Te.upf
CELL_PARAMETERS angstrom
4.552 0.000 0.000
0.000 4.552 0.000
0.000 0.000 4.157
ATOMIC_POSITIONS angstrom
N 2.276 0.000 0.000
Sr 2.276 2.276 2.078
N 0.000 2.276 0.000
O 0.000 0.000 0.000
Te 0.000 0.000 2.078
! VASP energy: -4.1419 eV/atom
! formation energy from raw total energies: 1.14 eV/atom
! space-group type: No. 123

Repeat the second record exactly.
! YCuSb2F (GGA-PBE, relaxed); values from VASP
&SYSTEM
  ibrav = 0, nat = 5, ntyp = 4
/
ATOMIC_SPECIES
Y 88.91 Y.upf
F 19.00 F.upf
Sb 121.76 Sb.upf
Cu 63.55 Cu.upf
CELL_PARAMETERS angstrom
-0.327 -5.110 0.189
3.920 -0.177 2.006
-2.318 0.317 4.558
ATOMIC_POSITIONS angstrom
Y 1.960 -0.088 1.003
F 0.000 0.000 0.000
Sb -1.159 0.159 2.279
Cu 0.637 -2.484 3.377
Sb -0.164 -2.555 0.095
! VASP energy: -4.6567 eV/atom
! formation energy from raw total energies: -0.52 eV/atom
! space-group type: No. 123

Q: The highest VASP energy belongs to which entry?
A: SeS4Cl

Q: VASP energy of number 1 (SeS4Cl)?
A: -3.5724 eV/atom

Q: What is the VASP energy in the fourth record?
A: -7.5669 eV/atom